(1)
# V2FeH (PBE, optimized geometry)
# V = 78.94 Å³ per cell
# M_tot = 2.2 μB per cell
# uncorrected energy = -60.5 eV for the cell shown
data_V2FeH
_cell_length_a 7.706
_cell_length_b 4.059
_cell_length_c 2.542
_cell_angle_alpha 90.00
_cell_angle_beta 96.86
_cell_angle_gamma 90.00
_space_group_name_H-M_alt 'C 1 m 1'
_space_group_IT_number 8
loop_
_space_group_symop_operation_xyz
'x,y,z'
'x,-y,z'
'x+1/2,y+1/2,z'
'x+1/2,-y+1/2,z'
loop_
_atom_site_label
_atom_site_fract_x
_atom_site_fract_y
_atom_site_fract_z
V1 0.000 0.000 0.000
V2 0.177 0.500 0.630
Fe1 0.315 0.000 0.371
H1 0.495 0.000 0.023

***

(2)
# H3Pt2 (PBE, optimized geometry)
# V = 199.98 Å³ per cell
# M_tot = 0.0 μB per cell
# uncorrected energy = -86.3 eV for the cell shown
data_H3Pt2
_cell_length_a 4.740
_cell_length_b 9.174
_cell_length_c 4.826
_cell_angle_alpha 90.00
_cell_angle_beta 107.64
_cell_angle_gamma 90.00
_space_group_name_H-M_alt 'C 1 c 1'
_space_group_IT_number 9
loop_
_space_group_symop_operation_xyz
'x,y,z'
'x,-y,z+1/2'
'x+1/2,y+1/2,z'
'x+1/2,-y+1/2,z+1/2'
loop_
_atom_site_label
_atom_site_fract_x
_atom_site_fract_y
_atom_site_fract_z
H1 0.000 0.070 0.000
H2 0.062 0.413 0.949
H3 0.076 0.268 0.509
Pt1 0.174 0.240 0.893
Pt2 0.176 0.081 0.391

***

- Among the records above, which one has the lowest M_tot?
  H3Pt2

***

- Among the records above, which one has the highest uncorrected energy?
  V2FeH

***

What did the first record say?
# V2FeH (PBE, optimized geometry)
# V = 78.94 Å³ per cell
# M_tot = 2.2 μB per cell
# uncorrected energy = -60.5 eV for the cell shown
data_V2FeH
_cell_length_a 7.706
_cell_length_b 4.059
_cell_length_c 2.542
_cell_angle_alpha 90.00
_cell_angle_beta 96.86
_cell_angle_gamma 90.00
_space_group_name_H-M_alt 'C 1 m 1'
_space_group_IT_number 8
loop_
_space_group_symop_operation_xyz
'x,y,z'
'x,-y,z'
'x+1/2,y+1/2,z'
'x+1/2,-y+1/2,z'
loop_
_atom_site_label
_atom_site_fract_x
_atom_site_fract_y
_atom_site_fract_z
V1 0.000 0.000 0.000
V2 0.177 0.500 0.630
Fe1 0.315 0.000 0.371
H1 0.495 0.000 0.023

***

- What is the uncorrected energy in the second record?
  -86.3 eV for the cell shown